This record from the Alexandria database describes a relaxed InFeCl2 crystal. The functional is GGA-PBE.

Output
DOS(E_F): 6.94 states/eV/cell
E_form (uncorrected): 0.285 eV/atom
excess energy over the best structure of this formula in the dataset: 727.0 meV per atom
raw total energy: -3.439 eV/atom
symmetry: No. 216

Lattice parameters (Å, degrees): 4.9625 4.9625 4.9625 60.00 60.00 60.00
Atoms (fractional coordinates):
Cl 0.0000 0.0000 0.0000
Cl 0.2500 0.2500 0.2500
In 0.7500 0.7500 0.7500
Fe 0.5000 0.5000 0.5000